CuSbPd2, optimized geometry, DFT PBE-GGA; D(E_F) = 2.2 states/eV/f.u.; electronic total energy = -19.6 eV per formula unit; spin magnetization = 0.00 Bohr magnetons per cell; formation energy without anion corrections = -0.2577 eV per atom
1.0
4.086 0.000 0.000
0.000 4.086 0.000
0.000 0.000 3.870
Cu Sb Pd
1 1 2
Direct
0.000 0.000 0.000
0.500 0.500 0.000
0.000 0.500 0.500
0.500 0.000 0.500